(1)
A plane-wave DFT calculation with PBE-GGA was carried out for Pm4SnAs2Se after structural relaxation.

Unit cell a=7.467 b=4.246 c=7.490 alpha=90.00 beta=109.03 gamma=90.00
Space group P2/m (No. 10)
One atom of each set of equivalent atoms:
Pm 0.240 0.000 0.236
Pm 0.252 0.500 0.762
Sn 0.500 0.500 0.500
As 0.000 0.500 0.000
As 0.500 0.000 0.000
Se 0.000 0.000 0.500

Results
uncorrected formation energy	-11.31	eV/f.u.
calculated total energy	-5.89	eV/atom


(2)
A plane-wave DFT calculation with PBE-GGA was carried out for Pm6SnAs3Se2 after structural relaxation.

Unit cell a=18.649 b=4.247 c=8.602 alpha=90.00 beta=103.39 gamma=90.00
Space group C2/m (No. 12)
One atom of each set of equivalent atoms:
Pm 0.000 0.000 0.239
Pm 0.164 0.500 0.090
Pm 0.171 0.500 0.580
Sn 0.000 0.500 0.500
As 0.000 0.500 0.000
As 0.167 0.000 0.332
Se 0.169 0.000 0.838

Results
uncorrected formation energy	-18.32	eV/f.u.
calculated total energy	-5.98	eV/atom


(3)
A plane-wave DFT calculation with PBE-GGA was carried out for Pm6Te2As3Se after structural relaxation.

Unit cell a=18.913 b=4.283 c=8.696 alpha=90.00 beta=104.56 gamma=90.00
Space group C2/m (No. 12)
One atom of each set of equivalent atoms:
Pm 0.007 0.000 0.246
Pm 0.159 0.500 0.101
Pm 0.169 0.500 0.566
Te 0.167 0.000 0.835
As 0.000 0.500 0.000
As 0.168 0.000 0.336
Se 0.000 0.500 0.500

Results
uncorrected formation energy	-19.19	eV/f.u.
calculated total energy	-5.95	eV/atom


(4)
A plane-wave DFT calculation with PBE-GGA was carried out for Pm4TeAsSe2 after structural relaxation.

Unit cell a=7.353 b=4.256 c=7.515 alpha=90.00 beta=109.13 gamma=90.00
Space group P2/m (No. 10)
One atom of each set of equivalent atoms:
Pm 0.237 0.000 0.225
Pm 0.252 0.500 0.769
Te 0.500 0.500 0.500
As 0.500 0.000 0.000
Se 0.000 0.000 0.500
Se 0.000 0.500 0.000

Results
uncorrected formation energy	-13.42	eV/f.u.
calculated total energy	-5.90	eV/atom